Below is a relaxed CaCrN2O crystal, with properties calculated at the GGA+U level.

```
data_CaCrN2O
_chemical_formula_sum 'Ca1 Cr1 N2 O1'
_cell_length_a 4.443
_cell_length_b 4.443
_cell_length_c 4.184
_cell_angle_alpha 90.00
_cell_angle_beta 90.00
_cell_angle_gamma 90.00
_space_group_name_H-M_alt 'P 4/m m m'
_space_group_IT_number 123
_space_group_name_Hall '-P 4 2'
loop_
_atom_site_label
_atom_site_type_symbol
_atom_site_fract_x
_atom_site_fract_y
_atom_site_fract_z
_atom_site_occupancy
Ca1 Ca 0.000 0.000 0.000 1
Cr1 Cr 0.500 0.500 0.500 1
N1 N 0.000 0.500 0.000 1
O1 O 0.000 0.000 0.500 1
```

Calculated values
Energy, eV per formula unit: -23.41

Below is a relaxed CaCrN2O crystal, with properties calculated at the GGA+U level.

```
data_CaCrN2O
_chemical_formula_sum 'Ca1 Cr1 N2 O1'
_cell_length_a 3.691
_cell_length_b 3.691
_cell_length_c 3.996
_cell_angle_alpha 90.00
_cell_angle_beta 90.00
_cell_angle_gamma 90.00
_space_group_name_H-M_alt 'P 4/m m m'
_space_group_IT_number 123
_space_group_name_Hall '-P 4 2'
loop_
_atom_site_label
_atom_site_type_symbol
_atom_site_fract_x
_atom_site_fract_y
_atom_site_fract_z
_atom_site_occupancy
Ca1 Ca 0.000 0.000 0.000 1
Cr1 Cr 0.500 0.500 0.500 1
N1 N 0.000 0.500 0.500 1
O1 O 0.500 0.500 0.000 1
```

Calculated values
Energy, eV per formula unit: -33.43

- Which value of energy does entry 2 give?
  -33.43 eV per formula unit

Please write out number 1 again, unchanged.
Below is a relaxed CaCrN2O crystal, with properties calculated at the GGA+U level.

```
data_CaCrN2O
_chemical_formula_sum 'Ca1 Cr1 N2 O1'
_cell_length_a 4.443
_cell_length_b 4.443
_cell_length_c 4.184
_cell_angle_alpha 90.00
_cell_angle_beta 90.00
_cell_angle_gamma 90.00
_space_group_name_H-M_alt 'P 4/m m m'
_space_group_IT_number 123
_space_group_name_Hall '-P 4 2'
loop_
_atom_site_label
_atom_site_type_symbol
_atom_site_fract_x
_atom_site_fract_y
_atom_site_fract_z
_atom_site_occupancy
Ca1 Ca 0.000 0.000 0.000 1
Cr1 Cr 0.500 0.500 0.500 1
N1 N 0.000 0.500 0.000 1
O1 O 0.000 0.000 0.500 1
```

Calculated values
Energy, eV per formula unit: -23.41

- Which value of energy does entry 2 give?
  -33.43 eV per formula unit

Copy entry 1 word for word.
Below is a relaxed CaCrN2O crystal, with properties calculated at the GGA+U level.

```
data_CaCrN2O
_chemical_formula_sum 'Ca1 Cr1 N2 O1'
_cell_length_a 4.443
_cell_length_b 4.443
_cell_length_c 4.184
_cell_angle_alpha 90.00
_cell_angle_beta 90.00
_cell_angle_gamma 90.00
_space_group_name_H-M_alt 'P 4/m m m'
_space_group_IT_number 123
_space_group_name_Hall '-P 4 2'
loop_
_atom_site_label
_atom_site_type_symbol
_atom_site_fract_x
_atom_site_fract_y
_atom_site_fract_z
_atom_site_occupancy
Ca1 Ca 0.000 0.000 0.000 1
Cr1 Cr 0.500 0.500 0.500 1
N1 N 0.000 0.500 0.000 1
O1 O 0.000 0.000 0.500 1
```

Calculated values
Energy, eV per formula unit: -23.41